#i
A plane-wave DFT calculation with PBE was carried out for an optimized crystal structure of CdSi2Au2.

Computed properties:
- Total moment: 0.00 μB/f.u.

Cell lengths 8.159, 8.159, 2.819 Å; angles 90.00, 90.00, 90.00 degrees
Space group P4/mbm (No. 127)
Inequivalent atoms, fractional coordinates:
1 Cd 0.000 0.000 0.000 (multiplicity 2)
2 Si 0.107 0.393 0.000 (multiplicity 4)
3 Au 0.195 0.695 0.500 (multiplicity 4)



#ii
A plane-wave DFT calculation with PBE was carried out for an optimized crystal structure of CdSi2Au2.

Computed properties:
- Total moment: 0.00 μB/f.u.

Cell lengths 3.780, 3.780, 12.993 Å; angles 90.00, 90.00, 90.00 degrees
Space group I4/mmm (No. 139)
Inequivalent atoms, fractional coordinates:
1 Cd 0.000 0.000 0.000 (multiplicity 2)
2 Si 0.000 0.500 0.250 (multiplicity 4)
3 Au 0.000 0.000 0.393 (multiplicity 4)



#iii
A plane-wave DFT calculation with PBE was carried out for an optimized crystal structure of CdSi2Au2.

Computed properties:
- Total moment: 0.00 μB/f.u.

Cell lengths 7.548, 7.548, 3.294 Å; angles 90.00, 90.00, 90.00 degrees
Space group P4/mbm (No. 127)
Inequivalent atoms, fractional coordinates:
1 Cd 0.000 0.000 0.000 (multiplicity 2)
2 Si 0.166 0.334 0.500 (multiplicity 4)
3 Au 0.137 0.637 0.000 (multiplicity 4)



#ii is the most stable structure shown above.